The following is a DFT calculation (GGA-PBE) of a relaxed Nd2DyPaSb4 crystal.

Properties
spin magnetization = 0.783 μB per cell
formation energy (no corrections) = -991 meV per atom
density of states at the Fermi level = 6.51 states/eV per cell

Cell: 7.6862 4.4444 7.7215 Å, 90.00 109.35 90.00°
Space group P2/m (No. 10)
One atom of each set of equivalent atoms:
1 Nd 0.0000 0.0000 0.0000 (multiplicity 1)
2 Nd 0.5000 0.5000 0.0000 (multiplicity 1)
3 Dy 0.0000 0.5000 0.5000 (multiplicity 1)
4 Pa 0.5000 0.0000 0.5000 (multiplicity 1)
5 Sb 0.2482 0.0000 0.7394 (multiplicity 2)
6 Sb 0.2537 0.5000 0.2600 (multiplicity 2)